# KPa4Co3O12 | Alexandria | GGA+U | relaxed
data_KPa4Co3O12
_chemical_formula_sum 'K1 Pa4 Co3 O12'
_cell_length_a 7.163
_cell_length_b 7.163
_cell_length_c 7.163
_cell_angle_alpha 109.47
_cell_angle_beta 109.47
_cell_angle_gamma 109.47
_symmetry_space_group_name_H-M 'P 1'
_symmetry_Int_Tables_number 1
loop_
_symmetry_equiv_pos_as_xyz
'x,y,z'
loop_
_atom_site_label
_atom_site_type_symbol
_atom_site_fract_x
_atom_site_fract_y
_atom_site_fract_z
_atom_site_occupancy
Pa1 Pa 0.500 0.000 0.000 1
Pa2 Pa 0.000 0.000 0.500 1
Pa3 Pa 0.500 0.500 0.500 1
Pa4 Pa 0.000 0.500 0.000 1
K1 K 0.000 0.000 0.000 1
O1 O 0.129 0.306 0.823 1
O2 O 0.871 0.694 0.177 1
O3 O 0.694 0.177 0.871 1
O4 O 0.306 0.823 0.129 1
O5 O 0.306 0.177 0.482 1
O6 O 0.823 0.129 0.306 1
O7 O 0.823 0.518 0.694 1
O8 O 0.177 0.482 0.306 1
O9 O 0.177 0.871 0.694 1
O10 O 0.482 0.306 0.177 1
O11 O 0.694 0.823 0.518 1
O12 O 0.518 0.694 0.823 1
Co1 Co 0.500 0.500 0.000 1
Co2 Co 0.000 0.500 0.500 1
Co3 Co 0.500 0.000 0.500 1
# E_tot (eV/f.u.): -166.67